(1)
## NpTl4 (GGA-PBE)

Data for a relaxed NpTl4 crystal.

The structure in CIF format:
```
data_NpTl4
_chemical_formula_sum 'Np1 Tl4'
_space_group_name_H-M_alt 'P 1'
_space_group_IT_number 1
_cell_length_a 6.0159
_cell_length_b 6.0159
_cell_length_c 6.0159
_cell_angle_alpha 90.00
_cell_angle_beta 90.00
_cell_angle_gamma 90.00
loop_
_space_group_symop_operation_xyz
'x,y,z'
loop_
_atom_site_label
_atom_site_fract_x
_atom_site_fract_y
_atom_site_fract_z
_atom_site_occupancy
Tl1 0.0000 0.5000 0.5000 1
Tl2 0.5000 0.5000 0.0000 1
Tl3 0.5000 0.0000 0.5000 1
Np1 0.5000 0.5000 0.5000 1
Tl4 0.0000 0.0000 0.0000 1
```

The density of states at the Fermi level is 16.36 states/eV per cell. The calculation puts the total energy at -0.2700 Ry per atom. The calculation puts the spin magnetization at 5.800 μB/cell.

(2)
## Zr2NpTl (GGA-PBE)

Data for a relaxed Zr2NpTl crystal.

The structure in CIF format:
```
data_Zr2NpTl
_chemical_formula_sum 'Zr2 Np1 Tl1'
_space_group_name_H-M_alt 'P 1'
_space_group_IT_number 1
_cell_length_a 3.6183
_cell_length_b 3.6183
_cell_length_c 6.9657
_cell_angle_alpha 90.00
_cell_angle_beta 90.00
_cell_angle_gamma 90.00
loop_
_space_group_symop_operation_xyz
'x,y,z'
loop_
_atom_site_label
_atom_site_fract_x
_atom_site_fract_y
_atom_site_fract_z
_atom_site_occupancy
Zr1 0.0000 0.0000 0.7598 1
Np1 0.5000 0.5000 0.0000 1
Tl1 0.5000 0.5000 0.5000 1
Zr2 0.0000 0.0000 0.2402 1
```

The density of states at the Fermi level is 8.40 states/eV per cell. The energy above the most stable polymorph in this dataset is 63 meV/atom. The calculation puts the total energy at -0.5792 Ry per atom. The calculation puts the spin magnetization at 4.164 μB/cell.

(3)
## Zr2NpTl (GGA-PBE)

Data for a relaxed Zr2NpTl crystal.

The structure in CIF format:
```
data_Zr2NpTl
_chemical_formula_sum 'Zr2 Np1 Tl1'
_space_group_name_H-M_alt 'P 1'
_space_group_IT_number 1
_cell_length_a 4.1057
_cell_length_b 4.7361
_cell_length_c 4.7361
_cell_angle_alpha 90.00
_cell_angle_beta 90.00
_cell_angle_gamma 90.00
loop_
_space_group_symop_operation_xyz
'x,y,z'
loop_
_atom_site_label
_atom_site_fract_x
_atom_site_fract_y
_atom_site_fract_z
_atom_site_occupancy
Zr1 0.0000 0.0000 0.5000 1
Zr2 0.0000 0.5000 0.0000 1
Np1 0.5000 0.0000 0.0000 1
Tl1 0.5000 0.5000 0.5000 1
```

The density of states at the Fermi level is 8.41 states/eV per cell. The energy above the most stable polymorph in this dataset is 0 meV/atom. The calculation puts the total energy at -0.5839 Ry per atom. The calculation puts the spin magnetization at 4.451 μB/cell.

(4)
## Zr2NpTl (GGA-PBE)

Data for a relaxed Zr2NpTl crystal.

The structure in CIF format:
```
data_Zr2NpTl
_chemical_formula_sum 'Zr2 Np1 Tl1'
_space_group_name_H-M_alt 'P 1'
_space_group_IT_number 1
_cell_length_a 3.3007
_cell_length_b 3.3007
_cell_length_c 10.2855
_cell_angle_alpha 80.77
_cell_angle_beta 80.77
_cell_angle_gamma 60.00
loop_
_space_group_symop_operation_xyz
'x,y,z'
loop_
_atom_site_label
_atom_site_fract_x
_atom_site_fract_y
_atom_site_fract_z
_atom_site_occupancy
Np1 0.0000 0.0000 0.0000 1
Tl1 0.5000 0.5000 0.5000 1
Zr1 0.7493 0.7493 0.7522 1
Zr2 0.2507 0.2507 0.2478 1
```

The density of states at the Fermi level is 7.27 states/eV per cell. The energy above the most stable polymorph in this dataset is 49 meV/atom. The calculation puts the total energy at -0.5802 Ry per atom. The calculation puts the spin magnetization at 4.047 μB/cell.

(5)
## TmNp2 (GGA-PBE)

Data for a relaxed TmNp2 crystal.

The structure in CIF format:
```
data_TmNp2
_chemical_formula_sum 'Tm2 Np4'
_space_group_name_H-M_alt 'P 1'
_space_group_IT_number 1
_cell_length_a 5.7584
_cell_length_b 5.7584
_cell_length_c 5.7584
_cell_angle_alpha 60.00
_cell_angle_beta 60.00
_cell_angle_gamma 60.00
loop_
_space_group_symop_operation_xyz
'x,y,z'
loop_
_atom_site_label
_atom_site_fract_x
_atom_site_fract_y
_atom_site_fract_z
_atom_site_occupancy
Tm1 0.0000 0.0000 0.0000 1
Np1 0.6250 0.6250 0.1250 1
Np2 0.1250 0.6250 0.6250 1
Np3 0.6250 0.6250 0.6250 1
Np4 0.6250 0.1250 0.6250 1
Tm2 0.2500 0.2500 0.2500 1
```

The density of states at the Fermi level is 15.21 states/eV per cell. The calculation puts the total energy at -0.7139 Ry per atom. The calculation puts the spin magnetization at 11.326 μB/cell.

(6)
## TmNp3 (GGA-PBE)

Data for a relaxed TmNp3 crystal.

The structure in CIF format:
```
data_TmNp3
_chemical_formula_sum 'Tm1 Np3'
_space_group_name_H-M_alt 'P 1'
_space_group_IT_number 1
_cell_length_a 4.6056
_cell_length_b 4.6056
_cell_length_c 4.6056
_cell_angle_alpha 90.00
_cell_angle_beta 90.00
_cell_angle_gamma 90.00
loop_
_space_group_symop_operation_xyz
'x,y,z'
loop_
_atom_site_label
_atom_site_fract_x
_atom_site_fract_y
_atom_site_fract_z
_atom_site_occupancy
Np1 0.5000 0.5000 0.0000 1
Np2 0.5000 0.0000 0.5000 1
Np3 0.0000 0.5000 0.5000 1
Tm1 0.0000 0.0000 0.0000 1
```

The density of states at the Fermi level is 16.12 states/eV per cell. The calculation puts the total energy at -0.7446 Ry per atom. The calculation puts the spin magnetization at 11.967 μB/cell.

(7)
## Tm4Np (GGA-PBE)

Data for a relaxed Tm4Np crystal.

The structure in CIF format:
```
data_Tm4Np
_chemical_formula_sum 'Tm4 Np1'
_space_group_name_H-M_alt 'P 1'
_space_group_IT_number 1
_cell_length_a 5.4590
_cell_length_b 5.4590
_cell_length_c 5.4590
_cell_angle_alpha 90.00
_cell_angle_beta 90.00
_cell_angle_gamma 90.00
loop_
_space_group_symop_operation_xyz
'x,y,z'
loop_
_atom_site_label
_atom_site_fract_x
_atom_site_fract_y
_atom_site_fract_z
_atom_site_occupancy
Tm1 0.0000 0.5000 0.5000 1
Np1 0.5000 0.5000 0.5000 1
Tm2 0.5000 0.5000 0.0000 1
Tm3 0.5000 0.0000 0.5000 1
Tm4 0.0000 0.0000 0.0000 1
```

The density of states at the Fermi level is 7.78 states/eV per cell. The calculation puts the total energy at -0.3962 Ry per atom. The calculation puts the spin magnetization at 6.389 μB/cell.

(8)
## TmNp4 (GGA-PBE)

Data for a relaxed TmNp4 crystal.

The structure in CIF format:
```
data_TmNp4
_chemical_formula_sum 'Tm1 Np4'
_space_group_name_H-M_alt 'P 1'
_space_group_IT_number 1
_cell_length_a 5.4174
_cell_length_b 5.4174
_cell_length_c 5.4174
_cell_angle_alpha 90.00
_cell_angle_beta 90.00
_cell_angle_gamma 90.00
loop_
_space_group_symop_operation_xyz
'x,y,z'
loop_
_atom_site_label
_atom_site_fract_x
_atom_site_fract_y
_atom_site_fract_z
_atom_site_occupancy
Np1 0.0000 0.5000 0.5000 1
Np2 0.5000 0.0000 0.5000 1
Np3 0.0000 0.0000 0.0000 1
Np4 0.5000 0.5000 0.0000 1
Tm1 0.5000 0.5000 0.5000 1
```

The density of states at the Fermi level is 25.87 states/eV per cell. The calculation puts the total energy at -0.6905 Ry per atom. The calculation puts the spin magnetization at 18.612 μB/cell.